Compound: Nd4As2O
Source: Alexandria via LeMat-Bulk
Functional: GGA-PBE
Structure: relaxed

CIF file:
```
data_Nd4As2O
_chemical_formula_sum 'Nd4 As2 O1'
_space_group_name_H-M_alt 'P 1'
_space_group_IT_number 1
_cell_length_a 4.637
_cell_length_b 4.637
_cell_length_c 8.760
_cell_angle_alpha 105.35
_cell_angle_beta 105.35
_cell_angle_gamma 90.00
loop_
_space_group_symop_operation_xyz
'x,y,z'
loop_
_atom_site_label
_atom_site_fract_x
_atom_site_fract_y
_atom_site_fract_z
As1 0.637 0.637 0.274
Nd1 0.176 0.176 0.352
As2 0.363 0.363 0.726
O1 0.000 0.000 0.000
Nd2 0.824 0.824 0.648
Nd3 0.500 0.000 0.000
Nd4 0.000 0.500 0.000
```

Summary:
For the total magnetization, the calculation gives 0.00 μB/cell. The formation energy from raw total energies comes out at -1.481 eV/atom.

***

Compound: TlReSe
Source: Alexandria via LeMat-Bulk
Functional: GGA-PBE
Structure: relaxed

CIF file:
```
data_TlReSe
_chemical_formula_sum 'Tl2 Re2 Se2'
_space_group_name_H-M_alt 'P 1'
_space_group_IT_number 1
_cell_length_a 3.200
_cell_length_b 6.782
_cell_length_c 6.915
_cell_angle_alpha 111.71
_cell_angle_beta 91.60
_cell_angle_gamma 91.49
loop_
_space_group_symop_operation_xyz
'x,y,z'
loop_
_atom_site_label
_atom_site_fract_x
_atom_site_fract_y
_atom_site_fract_z
Re1 0.103 0.348 0.436
Re2 0.563 0.999 0.199
Tl1 0.276 0.671 0.831
Se1 0.603 0.170 0.585
Tl2 0.663 0.658 0.329
Se2 0.062 0.178 0.049
```

Summary:
For the total magnetization, the calculation gives 0.00 μB/cell. The formation energy from raw total energies comes out at 0.082 eV/atom. As for the polymorph energy (0 for the lowest one): 0 meV/atom.

***

Compound: AcLa5NdY2
Source: Alexandria via LeMat-Bulk
Functional: GGA-PBE
Structure: relaxed

CIF file:
```
data_AcLa5NdY2
_chemical_formula_sum 'Ac2 La10 Nd2 Y4'
_space_group_name_H-M_alt 'P 1'
_space_group_IT_number 1
_cell_length_a 5.933
_cell_length_b 9.361
_cell_length_c 12.530
_cell_angle_alpha 90.00
_cell_angle_beta 90.00
_cell_angle_gamma 108.48
loop_
_space_group_symop_operation_xyz
'x,y,z'
loop_
_atom_site_label
_atom_site_fract_x
_atom_site_fract_y
_atom_site_fract_z
Y1 0.111 0.222 0.426
La1 0.425 0.849 0.772
La2 0.768 0.536 0.130
Y2 0.889 0.778 0.926
La3 0.232 0.464 0.630
La4 0.936 0.872 0.572
Y3 0.937 0.875 0.278
La5 0.578 0.156 0.588
La6 0.064 0.128 0.072
La7 0.230 0.460 0.216
La8 0.575 0.151 0.272
Ac1 0.617 0.234 0.920
La9 0.422 0.844 0.088
La10 0.770 0.540 0.716
Nd1 0.745 0.491 0.422
Y4 0.063 0.125 0.778
Nd2 0.255 0.509 0.922
Ac2 0.383 0.766 0.420
```

Summary:
For the total magnetization, the calculation gives 0.00 μB/cell. As for the formation energy: 0.0692 eV per atom.

***

Compound: H2PtS8
Source: Alexandria via LeMat-Bulk
Functional: GGA-PBE
Structure: relaxed

CIF file:
```
data_H2PtS8
_chemical_formula_sum 'H2 Pt1 S8'
_space_group_name_H-M_alt 'P 1'
_space_group_IT_number 1
_cell_length_a 3.607
_cell_length_b 9.665
_cell_length_c 26.999
_cell_angle_alpha 163.11
_cell_angle_beta 88.70
_cell_angle_gamma 91.98
loop_
_space_group_symop_operation_xyz
'x,y,z'
loop_
_atom_site_label
_atom_site_fract_x
_atom_site_fract_y
_atom_site_fract_z
H1 0.084 0.396 0.364
S1 0.231 0.744 0.708
S2 0.461 0.176 0.720
S3 0.769 0.256 0.292
S4 0.539 0.824 0.280
S5 0.003 0.161 0.903
H2 0.916 0.604 0.636
S6 0.518 0.533 0.248
Pt1 0.500 0.000 0.000
S7 0.997 0.839 0.097
S8 0.482 0.467 0.752
```

Summary:
As for the calculated total energy: -0.1498 hartree per atom. For the total magnetization, the calculation gives 0.14 μB/cell.

***

Compound: TcGe3Ir
Source: Alexandria via LeMat-Bulk
Functional: GGA-PBE
Structure: relaxed

CIF file:
```
data_TcGe3Ir
_chemical_formula_sum 'Tc1 Ge3 Ir1'
_space_group_name_H-M_alt 'P 1'
_space_group_IT_number 1
_cell_length_a 4.724
_cell_length_b 4.724
_cell_length_c 4.724
_cell_angle_alpha 90.00
_cell_angle_beta 90.00
_cell_angle_gamma 90.00
loop_
_space_group_symop_operation_xyz
'x,y,z'
loop_
_atom_site_label
_atom_site_fract_x
_atom_site_fract_y
_atom_site_fract_z
Ge1 0.500 0.000 0.000
Ge2 0.000 0.500 0.000
Ir1 0.500 0.500 0.500
Tc1 0.000 0.000 0.000
Ge3 0.000 0.000 0.500
```

Summary:
For the total magnetization, the calculation gives 1.33 μB/cell. As for the formation energy: 0.9412 eV per atom. As for the polymorph energy (0 for the lowest one): 1099 meV/atom.

***

Compound: RbFe3Te
Source: Alexandria via LeMat-Bulk
Functional: GGA-PBE
Structure: relaxed

CIF file:
```
data_RbFe3Te
_chemical_formula_sum 'Rb1 Fe3 Te1'
_space_group_name_H-M_alt 'P 1'
_space_group_IT_number 1
_cell_length_a 4.792
_cell_length_b 4.792
_cell_length_c 4.792
_cell_angle_alpha 90.00
_cell_angle_beta 90.00
_cell_angle_gamma 90.00
loop_
_space_group_symop_operation_xyz
'x,y,z'
loop_
_atom_site_label
_atom_site_fract_x
_atom_site_fract_y
_atom_site_fract_z
Fe1 0.500 0.000 0.000
Fe2 0.000 0.000 0.500
Fe3 0.000 0.500 0.000
Te1 0.500 0.500 0.500
Rb1 0.000 0.000 0.000
```

Summary:
For the total magnetization, the calculation gives 7.91 μB/cell. The formation energy from raw total energies comes out at 2.324 eV/atom. As for the polymorph energy (0 for the lowest one): 1251 meV/atom.

***

Question: Which formula does entry 2 have?
Answer: TlReSe